# 1
Compound: Er2LuPd
Source: the Alexandria database
Functional: PBE
Structure: optimized geometry

Lattice parameters (Å, degrees): 3.516 3.516 10.763 80.60 80.60 60.00
Atoms (fractional coordinates):
Pd 0.500 0.500 0.500
Er 0.895 0.895 0.314
Er 0.105 0.105 0.686
Lu 0.000 0.000 0.000

Properties
offset from the most stable computed form = 326.9 meV/atom
volume = 113 Å³ per cell
magnetic moment = 0.00 μB per formula unit
E = -4.804 eV per atom
DFT formation energy = -0.0940 eV/atom

# 2
Compound: Er2LuPd
Source: the Alexandria database
Functional: PBE
Structure: optimized geometry

Lattice parameters (Å, degrees): 3.537 3.537 8.215 90.00 90.00 90.00
Atoms (fractional coordinates):
Lu 0.500 0.500 0.500
Er 0.000 0.000 0.797
Er 0.000 0.000 0.203
Pd 0.500 0.500 0.000

Properties
offset from the most stable computed form = 0.0 meV/atom
volume = 103 Å³ per cell
magnetic moment = 0.00 μB per formula unit
E = -5.131 eV per atom
DFT formation energy = -0.4208 eV/atom

# 3
Compound: ErLuPd
Source: the Alexandria database
Functional: PBE
Structure: optimized geometry

Lattice parameters (Å, degrees): 3.487 3.487 6.508 105.54 105.54 90.00
Atoms (fractional coordinates):
Lu 0.304 0.304 0.608
Er 0.026 0.026 0.053
Pd 0.670 0.670 0.339

Properties
offset from the most stable computed form = 0.0 meV/atom
volume = 73 Å³ per cell
magnetic moment = 0.00 μB per formula unit
E = -5.353 eV per atom
DFT formation energy = -0.5938 eV/atom

# 4
Compound: ErLuPd2
Source: the Alexandria database
Functional: PBE
Structure: optimized geometry

Lattice parameters (Å, degrees): 3.414 4.917 4.917 90.00 90.00 90.00
Atoms (fractional coordinates):
Pd 0.000 0.000 0.500
Pd 0.000 0.500 0.000
Lu 0.500 0.000 0.000
Er 0.500 0.500 0.500

Properties
offset from the most stable computed form = 4.8 meV/atom
volume = 83 Å³ per cell
magnetic moment = 0.00 μB per formula unit
E = -5.812 eV per atom
DFT formation energy = -0.9442 eV/atom

# 5
Compound: ErLuPd
Source: the Alexandria database
Functional: PBE
Structure: optimized geometry

Lattice parameters (Å, degrees): 4.817 4.817 4.817 60.00 60.00 60.00
Atoms (fractional coordinates):
Pd 0.250 0.250 0.250
Lu 0.000 0.000 0.000
Er 0.500 0.500 0.500

Properties
offset from the most stable computed form = 72.4 meV/atom
volume = 79 Å³ per cell
magnetic moment = 0.00 μB per formula unit
E = -5.280 eV per atom
DFT formation energy = -0.5215 eV/atom

# 6
Compound: ErLu2Pd
Source: the Alexandria database
Functional: PBE
Structure: optimized geometry

Lattice parameters (Å, degrees): 3.501 3.501 8.240 90.00 90.00 90.00
Atoms (fractional coordinates):
Pd 0.500 0.500 0.000
Lu 0.000 0.000 0.800
Lu 0.000 0.000 0.200
Er 0.500 0.500 0.500

Properties
volume = 101 Å³ per cell
magnetic moment = 0.00 μB per formula unit
E = -5.149 eV per atom
DFT formation energy = -0.4494 eV/atom

# 7
Compound: ErLuPd4
Source: the Alexandria database
Functional: PBE
Structure: optimized geometry

Lattice parameters (Å, degrees): 5.408 5.408 5.408 60.00 60.00 60.00
Atoms (fractional coordinates):
Pd 0.625 0.625 0.625
Pd 0.625 0.625 0.125
Pd 0.625 0.125 0.625
Pd 0.125 0.625 0.625
Er 0.000 0.000 0.000
Lu 0.250 0.250 0.250

Properties
volume = 112 Å³ per cell
magnetic moment = 0.00 μB per formula unit
E = -5.797 eV per atom
DFT formation energy = -0.8207 eV/atom

# 8
Compound: ErLuPdPt
Source: the Alexandria database
Functional: PBE
Structure: optimized geometry

Lattice parameters (Å, degrees): 4.878 4.878 4.878 60.00 60.00 60.00
Atoms (fractional coordinates):
Pd 0.250 0.250 0.250
Er 0.000 0.000 0.000
Pt 0.750 0.750 0.750
Lu 0.500 0.500 0.500

Properties
volume = 82 Å³ per cell
magnetic moment = 0.00 μB per formula unit
E = -6.215 eV per atom
DFT formation energy = -1.1353 eV/atom

Question: What is the E in the seventh record?
Answer: -5.797 eV per atom